Material: HfPaBe2
Method: DFT, GGA-PBE
State: relaxed

Cell lengths 6.4851, 6.4851, 6.4851 Å; angles 90.00, 90.00, 90.00 degrees
Space group Fm-3m (No. 225)
One atom of each set of equivalent atoms:
1 Hf 0.0000 0.0000 0.0000 x4
2 Pa 0.0000 0.0000 0.5000 x4
3 Be 0.2500 0.2500 0.2500 x8

Results
total moment = 0.00 μB per formula unit
energy above the lowest structure with this stoichiometry = 10.3 kJ per mole of atoms
total DFT energy (no corrections) = -104.66 eV for the cell shown
calculated density = 10413 kg/m3
calculated formation energy = 0.184 eV per atom


Material: HfBe2Pb
Method: DFT, GGA-PBE
State: relaxed

Cell lengths 7.0310, 7.0310, 5.7817 Å; angles 90.00, 90.00, 90.00 degrees
Space group I-42d (No. 122)
One atom of each set of equivalent atoms:
1 Hf 0.0000 0.0000 0.0000 x4
2 Be 0.2374 0.7500 0.6250 x8
3 Pb 0.0000 0.0000 0.5000 x4

Results
total moment = 0.00 μB per formula unit
total DFT energy (no corrections) = -74.69 eV for the cell shown
calculated density = 9382 kg/m3
calculated formation energy = 0.611 eV per atom


Material: Hf3BePb
Method: DFT, GGA-PBE
State: relaxed

Cell lengths 4.7169, 4.7169, 4.7169 Å; angles 90.00, 90.00, 90.00 degrees
Space group Pm-3m (No. 221)
One atom of each set of equivalent atoms:
1 Hf 0.0000 0.0000 0.5000 x3
2 Be 0.0000 0.0000 0.0000 x1
3 Pb 0.5000 0.5000 0.5000 x1

Results
total moment = 0.00 μB per formula unit
energy above the lowest structure with this stoichiometry = 11.1 kJ per mole of atoms
total DFT energy (no corrections) = -36.76 eV for the cell shown
calculated density = 11894 kg/m3
calculated formation energy = 0.108 eV per atom


Material: HfBe3Pb
Method: DFT, GGA-PBE
State: relaxed

Cell lengths 4.8122, 4.8122, 4.8122 Å; angles 90.00, 90.00, 90.00 degrees
Space group Pm-3m (No. 221)
One atom of each set of equivalent atoms:
1 Hf 0.0000 0.0000 0.0000 x1
2 Be 0.0000 0.0000 0.5000 x3
3 Pb 0.5000 0.5000 0.5000 x1

Results
total moment = 0.00 μB per formula unit
energy above the lowest structure with this stoichiometry = 8.9 kJ per mole of atoms
total DFT energy (no corrections) = -17.40 eV for the cell shown
calculated density = 6150 kg/m3
calculated formation energy = 1.487 eV per atom